## NaBe2Cd2 (GGA-PBE)

Data for NaBe2Cd2 after structural relaxation.

DOS(E_F): 1.38 states/eV per cell
Space group: No. 127
DFT total energy: -1.827 eV per atom

Cell lengths 7.597, 7.597, 2.863 Å; angles 90.00, 90.00, 90.00 degrees
Fractional positions:
Na  0.000  0.000  0.000
Na  0.500  0.500  0.000
Be  0.107  0.393  0.000
Be  0.393  0.893  0.000
Be  0.607  0.107  0.000
Be  0.893  0.607  0.000
Cd  0.183  0.683  0.500
Cd  0.317  0.183  0.500
Cd  0.683  0.817  0.500
Cd  0.817  0.317  0.500